MgMn2W | PBE-GGA | relaxed

```
MgMn2W
1.0
1.3737 0.7931 8.7792
-1.3737 0.7931 8.7792
0.0000 -1.5862 8.7792
Mg Mn W
1 2 1
direct
0.0000 0.0000 0.0000
0.4864 0.4864 0.4864
0.7543 0.7543 0.7543
0.2360 0.2360 0.2360
```

Properties
- Total DFT energy (no corrections): -31.16 eV per formula unit



Mg2MnW | PBE-GGA | relaxed

```
Mg2MnW
1.0
2.7304 -4.5035 0.0000
2.7304 4.5035 0.0000
0.0000 0.0000 2.7335
Mg Mn W
2 1 1
direct
0.0000 0.5000 0.0000
0.5000 0.0000 0.0000
0.0000 0.0000 0.5000
0.5000 0.5000 0.5000
```

Properties
- E above lowest polymorph: 1.03 eV per formula unit
- Total DFT energy (no corrections): -23.42 eV per formula unit



MgMnW2 | PBE-GGA | relaxed

```
MgMnW2
1.0
1.5945 -2.2315 0.0000
1.5945 2.2315 0.0000
0.0000 0.0000 8.9765
Mg Mn W
1 1 2
direct
0.0000 0.0000 0.0000
0.5000 0.5000 0.7452
0.0000 0.0000 0.5209
0.5000 0.5000 0.2714
```

Properties
- Total DFT energy (no corrections): -35.61 eV per formula unit



Mg2MnW | PBE-GGA | relaxed

```
Mg2MnW
1.0
0.0000 3.1744 3.1744
3.1744 0.0000 3.1744
3.1744 3.1744 0.0000
Mg Mn W
2 1 1
direct
0.2500 0.2500 0.2500
0.7500 0.7500 0.7500
0.0000 0.0000 0.0000
0.5000 0.5000 0.5000
```

Properties
- E above lowest polymorph: 3.26 eV per formula unit
- Total DFT energy (no corrections): -21.19 eV per formula unit



MgMnW2 | PBE-GGA | relaxed

```
MgMnW2
1.0
1.4327 0.8272 9.0373
-1.4327 0.8272 9.0373
0.0000 -1.6544 9.0373
Mg Mn W
1 1 2
direct
0.0000 0.0000 0.0000
0.7521 0.7521 0.7521
0.2411 0.2411 0.2411
0.4878 0.4878 0.4878
```

Properties
- Total DFT energy (no corrections): -34.79 eV per formula unit



MgMn2W | PBE-GGA | relaxed

```
MgMn2W
1.0
3.0377 0.0000 0.0000
0.0000 3.0561 0.0000
0.0000 0.0000 6.1456
Mg Mn W
1 2 1
direct
0.0000 0.0000 0.0000
0.5000 0.5000 0.2780
0.5000 0.5000 0.7220
0.0000 0.0000 0.5000
```

Properties
- Total DFT energy (no corrections): -32.05 eV per formula unit



MgMn2W | PBE-GGA | relaxed

```
MgMn2W
1.0
-1.4370 2.1683 4.4080
1.4370 -2.1683 4.4080
1.4370 2.1683 -4.4080
Mg Mn W
1 2 1
direct
0.0000 0.0000 0.0000
0.5250 0.5250 0.0000
0.7420 0.2420 0.5000
0.2755 0.7755 0.5000
```

Properties
- Total DFT energy (no corrections): -31.71 eV per formula unit



Mg2MnW | PBE-GGA | relaxed

```
Mg2MnW
1.0
2.7760 0.0000 0.0000
0.0000 4.2745 0.0000
-1.2454 0.0000 5.6145
Mg Mn W
2 1 1
direct
0.0000 0.0000 0.0000
0.3038 0.5000 0.7269
0.7770 0.5000 0.2695
0.6025 0.0000 0.4579
```

Properties
- E above lowest polymorph: 0.57 eV per formula unit
- Total DFT energy (no corrections): -23.88 eV per formula unit



Mg2MnW | PBE-GGA | relaxed

```
Mg2MnW
1.0
-1.5361 2.1667 4.7003
1.5361 -2.1667 4.7003
1.5361 2.1667 -4.7003
Mg Mn W
2 1 1
direct
0.2333 0.2333 0.0000
0.7667 0.7667 0.0000
0.0000 0.5000 0.5000
0.5000 0.0000 0.5000
```

Properties
- E above lowest polymorph: 0.96 eV per formula unit
- Total DFT energy (no corrections): -23.49 eV per formula unit



MgMn2W | PBE-GGA | relaxed

```
MgMn2W
1.0
1.5940 -2.1994 0.0000
1.5940 2.1994 0.0000
0.0000 0.0000 8.5522
Mg Mn W
1 2 1
direct
0.0000 0.0000 0.0000
0.5000 0.5000 0.2657
0.5000 0.5000 0.7343
0.0000 0.0000 0.5000
```

Properties
- Total DFT energy (no corrections): -31.66 eV per formula unit



Mg2MnW | PBE-GGA | relaxed

```
Mg2MnW
1.0
2.7860 0.0000 0.0000
0.0000 2.7860 0.0000
0.0000 0.0000 8.9678
Mg Mn W
2 1 1
direct
0.0000 0.0000 0.0000
0.5000 0.5000 0.2937
0.0000 0.0000 0.5328
0.5000 0.5000 0.7513
```

Properties
- E above lowest polymorph: 0.48 eV per formula unit
- Total DFT energy (no corrections): -23.97 eV per formula unit



MgMnW2 | PBE-GGA | relaxed

```
MgMnW2
1.0
3.2174 0.0000 0.0000
0.0000 4.3112 0.0000
0.0000 0.0000 4.5321
Mg Mn W
1 1 2
direct
0.0000 0.0000 0.0000
0.5000 0.5000 0.0000
0.0000 0.5000 0.5000
0.5000 0.0000 0.5000
```

Properties
- Total DFT energy (no corrections): -35.13 eV per formula unit



The lowest total DFT energy (no corrections) belongs to which entry? number 3



What is the total DFT energy (no corrections) in the second record? -23.42 eV per formula unit